(1)
A PBEsol-optimized structure of NaScB2Rh. Source: the Alexandria database, functional SCAN.

ΔE_f ... 0.53 eV per atom
Raw total energy ... -64.44 eV/f.u.

a = 4.0360 Å, b = 4.0360 Å, c = 4.6440 Å
α = 90.00°, β = 90.00°, γ = 90.00°
Closest atoms and distances in Å follow each position.
Atoms (fractional coordinates):
Na  0.0000  0.0000  0.5000  2 Rh 2.32
Rh  0.0000  0.0000  0.0000  4 B 2.02
Sc  0.5000  0.5000  0.5000  4 Na 2.85, 8 B 3.08
B  0.5000  0.0000  0.0000  2 Rh 2.02
B  0.0000  0.5000  0.0000  2 Rh 2.02

(2)
A PBEsol-optimized structure of NaBRu3. Source: the Alexandria database, functional SCAN.

ΔE_f ... 3.17 eV per atom
Raw total energy ... -100.30 eV/f.u.

a = 4.3369 Å, b = 4.3369 Å, c = 4.3369 Å
α = 90.00°, β = 90.00°, γ = 90.00°
Closest atoms and distances in Å follow each position.
Atoms (fractional coordinates):
Ru  0.0000  0.0000  0.5000  2 Na 2.17
Ru  0.5000  0.0000  0.0000  2 Na 2.17
Ru  0.0000  0.5000  0.0000  2 Na 2.17
B  0.5000  0.5000  0.5000  12 Ru 3.07
Na  0.0000  0.0000  0.0000  6 Ru 2.17

(3)
A PBEsol-optimized structure of NaSrB2Ru. Source: the Alexandria database, functional SCAN.

ΔE_f ... 2.56 eV per atom
Raw total energy ... -63.37 eV/f.u.

a = 4.9747 Å, b = 4.9747 Å, c = 4.9269 Å
α = 90.00°, β = 90.00°, γ = 90.00°
Closest atoms and distances in Å follow each position.
Atoms (fractional coordinates):
B  0.0000  0.5000  0.0000  2 Sr 2.49
Sr  0.0000  0.0000  0.0000  2 Ru 2.46, 4 B 2.49
B  0.5000  0.0000  0.0000  2 Sr 2.49
Na  0.5000  0.5000  0.5000  8 B 3.50, 4 Ru 3.52
Ru  0.0000  0.0000  0.5000  2 Sr 2.46

(4)
A PBEsol-optimized structure of NaBS2. Source: the Alexandria database, functional SCAN.

ΔE_f (raw) ... 0.3 eV/f.u.
Raw total energy ... -30.63 eV/f.u.

a = 3.1709 Å, b = 3.1709 Å, c = 7.7071 Å
α = 78.13°, β = 78.13°, γ = 60.00°
Closest atoms and distances in Å follow each position.
Atoms (fractional coordinates):
B  0.5000  0.5000  0.5000  6 S 2.16
S  0.1155  0.1155  0.6534  3 B 2.16
S  0.8845  0.8845  0.3466  3 B 2.16
Na  0.0000  0.0000  0.0000  2 S 2.59

(5)
A PBEsol-optimized structure of NaBS3. Source: the Alexandria database, functional SCAN.

ΔE_f (raw) ... 8.6 eV/f.u.
Raw total energy ... -31.96 eV/f.u.

a = 4.8876 Å, b = 4.8876 Å, c = 4.8876 Å
α = 90.00°, β = 90.00°, γ = 90.00°
Closest atoms and distances in Å follow each position.
Atoms (fractional coordinates):
S  0.0000  0.0000  0.5000  2 Na 2.44
B  0.5000  0.5000  0.5000  12 S 3.46
Na  0.0000  0.0000  0.0000  6 S 2.44
S  0.5000  0.0000  0.0000  2 Na 2.44
S  0.0000  0.5000  0.0000  2 Na 2.44

(6)
A PBEsol-optimized structure of NaBS2. Source: the Alexandria database, functional SCAN.

ΔE_f (raw) ... -3.2 eV/f.u.
Raw total energy ... -34.09 eV/f.u.

a = 4.5389 Å, b = 4.5389 Å, c = 6.4669 Å
α = 69.46°, β = 69.46°, γ = 60.00°
Closest atoms and distances in Å follow each position.
Atoms (fractional coordinates):
S  0.9056  0.9056  0.2833  1 B 1.68
Na  0.5000  0.5000  0.5000  6 S 2.92
B  0.0000  0.0000  0.0000  2 S 1.68
S  0.0944  0.0944  0.7167  1 B 1.68

(7)
A PBEsol-optimized structure of NaB3S. Source: the Alexandria database, functional SCAN.

ΔE_f (raw) ... 15.0 eV/f.u.
Raw total energy ... -21.18 eV/f.u.

a = 4.4508 Å, b = 4.4508 Å, c = 4.4508 Å
α = 90.00°, β = 90.00°, γ = 90.00°
Closest atoms and distances in Å follow each position.
Atoms (fractional coordinates):
Na  0.0000  0.0000  0.0000  6 B 2.23
S  0.5000  0.5000  0.5000  12 B 3.15
B  0.0000  0.5000  0.0000  2 Na 2.23
B  0.0000  0.0000  0.5000  2 Na 2.23
B  0.5000  0.0000  0.0000  2 Na 2.23

(8)
A PBEsol-optimized structure of NaBS2. Source: the Alexandria database, functional SCAN.

ΔE_f (raw) ... -3.7 eV/f.u.
Raw total energy ... -34.60 eV/f.u.

a = 7.3192 Å, b = 9.0205 Å, c = 9.0205 Å
α = 67.03°, β = 74.31°, γ = 105.69°
Closest atoms and distances in Å follow each position.
Atoms (fractional coordinates):
S  0.5141  0.5281  0.2359  1 B 1.77
Na  0.7126  0.9253  0.5374  6 S 2.93-3.01
B  0.7500  0.1182  0.1182  3 S 1.77-1.82
B  0.8682  0.1182  0.7636  3 S 1.77-1.82
B  0.3682  0.2364  0.8818  3 S 1.77-1.82
S  0.8738  0.2476  0.8762  2 B 1.82
B  0.2500  0.8818  0.8818  3 S 1.77-1.82
Na  0.2874  0.0747  0.4626  6 S 2.93-3.01
S  0.2500  0.1238  0.1238  2 B 1.82
S  0.9859  0.2359  0.5281  1 B 1.77
S  0.1262  0.7524  0.1238  2 B 1.82
S  0.7500  0.8762  0.8762  2 B 1.82
S  0.4859  0.4719  0.7641  1 B 1.77
S  0.2500  0.7641  0.7641  1 B 1.77
S  0.0141  0.7641  0.4719  1 B 1.77
S  0.6262  0.8762  0.2476  2 B 1.82
Na  0.7874  0.5374  0.9253  6 S 2.93-3.01
Na  0.7500  0.4626  0.4626  6 S 2.93-3.01
B  0.6318  0.7636  0.1182  3 S 1.77-1.82
Na  0.2500  0.5374  0.5374  6 S 2.93-3.01
B  0.1318  0.8818  0.2364  3 S 1.77-1.82
S  0.7500  0.2359  0.2359  1 B 1.77
S  0.3738  0.1238  0.7524  2 B 1.82
Na  0.2126  0.4626  0.0747  6 S 2.93-3.01

(9)
A PBEsol-optimized structure of NaBS2. Source: the Alexandria database, functional SCAN.

ΔE_f (raw) ... -3.4 eV/f.u.
Raw total energy ... -34.33 eV/f.u.

a = 5.6017 Å, b = 5.6017 Å, c = 5.6017 Å
α = 95.73°, β = 116.75°, γ = 116.75°
Closest atoms and distances in Å follow each position.
Atoms (fractional coordinates):
B  0.5000  0.2500  0.7500  4 S 1.94
Na  0.5000  0.7500  0.2500  4 S 2.72
S  0.8957  0.5207  0.1250  2 B 1.94
S  0.1043  0.2293  0.6250  2 B 1.94
S  0.6043  0.3750  0.4793  2 B 1.94
Na  0.0000  0.0000  0.0000  4 S 2.72
S  0.3957  0.8750  0.7707  2 B 1.94
B  0.0000  0.5000  0.5000  4 S 1.94

(10)
A PBEsol-optimized structure of Na2BSb. Source: the Alexandria database, functional SCAN.

ΔE_f (raw) ... 2.7 eV/f.u.
Raw total energy ... -50.38 eV/f.u.

a = 4.9051 Å, b = 4.9051 Å, c = 4.9051 Å
α = 60.00°, β = 60.00°, γ = 60.00°
Closest atoms and distances in Å follow each position.
Atoms (fractional coordinates):
Na  0.2500  0.2500  0.2500  4 B 3.00, 4 Sb 3.00
Sb  0.5000  0.5000  0.5000  8 Na 3.00
Na  0.7500  0.7500  0.7500  4 Sb 3.00, 4 B 3.00
B  0.0000  0.0000  0.0000  8 Na 3.00

(11)
A PBEsol-optimized structure of NaBSe2. Source: the Alexandria database, functional SCAN.

ΔE_f (raw) ... -2.5 eV/f.u.
Raw total energy ... -54.27 eV/f.u.

a = 5.9476 Å, b = 5.9476 Å, c = 5.9476 Å
α = 95.58°, β = 116.83°, γ = 116.83°
Closest atoms and distances in Å follow each position.
Atoms (fractional coordinates):
Se  0.9022  0.3750  0.7772  2 B 2.08
Se  0.5978  0.2228  0.1250  2 B 2.08
Na  0.0000  0.0000  0.0000  4 Se 2.85
B  0.0000  0.5000  0.5000  4 Se 2.08
B  0.5000  0.2500  0.7500  4 Se 2.08
Na  0.5000  0.7500  0.2500  4 Se 2.85
Se  0.4022  0.5272  0.6250  2 B 2.08
Se  0.0978  0.8750  0.4728  2 B 2.08

(12)
A PBEsol-optimized structure of Na2SiB. Source: the Alexandria database, functional SCAN.

ΔE_f (raw) ... 1.4 eV/f.u.
Raw total energy ... -24.47 eV/f.u.

a = 3.6951 Å, b = 7.7594 Å, c = 7.7594 Å
α = 86.75°, β = 76.23°, γ = 76.23°
Closest atoms and distances in Å follow each position.
Atoms (fractional coordinates):
Na  0.8750  0.7500  0.7500  2 B 2.70, 2 Si 3.00
B  0.2500  0.5000  0.5000  2 Si 1.85
Na  0.3750  0.7500  0.2500  2 B 2.70, 2 Si 3.00
Na  0.3750  0.2500  0.2500  2 B 2.70, 2 Si 3.00
Si  0.0000  0.0000  0.0000  2 B 1.85
B  0.5000  0.0000  0.0000  2 Si 1.85
Na  0.3750  0.2500  0.7500  2 B 2.70, 2 Si 3.00
Si  0.7500  0.5000  0.5000  2 B 1.85

Q: What is the raw total energy in the first record?
A: -64.44 eV/f.u.

Q: raw total energy of number 12 (Na2SiB)?
A: -24.47 eV/f.u.